The following is a meta-GGA SCAN calculation of TlFeW2 at its PBEsol-relaxed geometry, from Alexandria via LeMat-Bulk.

a = 5.2553 Å, b = 5.2553 Å, c = 5.2553 Å
α = 144.16°, β = 131.48°, γ = 61.77°
With the nearest neighbours (Å) after each atom.
Fractional positions:
Tl 0.0000 0.0000 0.0000  4 Fe 2.70, 4 W 2.89
Fe 0.5000 0.5000 0.0000  4 W 2.67, 4 Tl 2.70
W 0.2651 0.7651 0.5000  2 Fe 2.67, 4 W 2.71, 2 Tl 2.89
W 0.7349 0.2349 0.5000  2 Fe 2.67, 4 W 2.71, 2 Tl 2.89

Computed properties:
- SG = Immm, No. 71
- mass density (g cm⁻³) = 16.56
- ΔH_f (0 K) (eV per atom) = 0.635
- energy (eV/atom) = -56.831

---

The following is a meta-GGA SCAN calculation of Tl2FeW at its PBEsol-relaxed geometry, from Alexandria via LeMat-Bulk.

a = 9.0465 Å, b = 9.0465 Å, c = 9.0465 Å
α = 20.40°, β = 20.40°, γ = 20.40°
With the nearest neighbours (Å) after each atom.
Fractional positions:
Tl 0.0000 0.0000 0.0000  3 W 3.11, 9 Tl 3.20-3.33
Tl 0.2293 0.2293 0.2293  3 Fe 2.90, 6 Tl 3.20
Fe 0.4786 0.4786 0.4786  3 W 2.30
W 0.7607 0.7607 0.7607  3 Fe 2.30

Computed properties:
- SG = R3m, No. 160
- mass density (g cm⁻³) = 13.68
- ΔH_f (0 K) (eV per atom) = 0.749
- energy (eV/atom) = -57.385

---

The following is a meta-GGA SCAN calculation of Tl2FeW at its PBEsol-relaxed geometry, from Alexandria via LeMat-Bulk.

a = 4.6378 Å, b = 4.6378 Å, c = 4.6378 Å
α = 60.00°, β = 60.00°, γ = 60.00°
With the nearest neighbours (Å) after each atom.
Fractional positions:
Tl 0.2500 0.2500 0.2500  4 Fe 2.84, 4 W 2.84
Tl 0.7500 0.7500 0.7500  4 W 2.84, 4 Fe 2.84
Fe 0.0000 0.0000 0.0000  8 Tl 2.84
W 0.5000 0.5000 0.5000  8 Tl 2.84

Computed properties:
- SG = Fm-3m, No. 225
- mass density (g cm⁻³) = 15.26
- ΔH_f (0 K) (eV per atom) = 1.225
- energy (eV/atom) = -56.908